Below is a relaxed KOsO3 crystal, with properties calculated at the GGA-PBE level.

Cell: 3.9315 3.9315 3.9315 Å, 90.00 90.00 90.00°
With the nearest neighbours (Å) after each atom.
Space group Pm-3m (No. 221)
Symmetry-distinct sites (fractional):
K: 0.0000 0.0000 0.0000 [1 per cell]  12 O 2.78
Os: 0.5000 0.5000 0.5000 [1 per cell]  6 O 1.97
O: 0.0000 0.5000 0.5000 [3 per cell]  2 Os 1.97

* uncorrected formation energy: -6.01 eV/f.u.
* size of the total moment: 0.00 μB per formula unit
* crystal system: cubic

***

Below is a relaxed ScTl2P crystal, with properties calculated at the GGA-PBE level.

Cell: 4.1143 4.1143 11.1072 Å, 90.00 90.00 90.00°
With the nearest neighbours (Å) after each atom.
Space group I4/mmm (No. 139)
Symmetry-distinct sites (fractional):
Sc: 0.0000 0.0000 0.0000 [2 per cell]  4 P 2.91
Tl: 0.0000 0.5000 0.2500 [4 per cell]  4 Tl 2.91
P: 0.0000 0.0000 0.5000 [2 per cell]  4 Sc 2.91

* offset from the most stable computed form: 311.6 meV per atom
* size of the total moment: 0.00 μB per formula unit
* DFT formation energy: -0.14 eV per atom
* crystal system: tetragonal

***

Below is a relaxed PrHoCuAg crystal, with properties calculated at the GGA-PBE level.

Cell: 7.2721 7.2721 7.2721 Å, 90.00 90.00 90.00°
With the nearest neighbours (Å) after each atom.
Space group F-43m (No. 216)
Symmetry-distinct sites (fractional):
Pr: 0.0000 0.0000 0.0000 [4 per cell]  4 Ag 3.15, 4 Cu 3.15
Ho: 0.0000 0.0000 0.5000 [4 per cell]  4 Cu 3.15, 4 Ag 3.15
Cu: 0.2500 0.2500 0.2500 [4 per cell]  4 Pr 3.15, 4 Ho 3.15
Ag: 0.2500 0.2500 0.7500 [4 per cell]  4 Ho 3.15, 4 Pr 3.15

* offset from the most stable computed form: 41.5 meV per atom
* size of the total moment: 0.00 μB per formula unit
* DFT formation energy: -0.20 eV per atom
* crystal system: cubic

***

Question: What is the size of the total moment in the second record?
Answer: 0.00 μB per formula unit